Record 1
Below is Hg7Pb2 after structural relaxation, with properties calculated at the PBE level.

Calculated values
total magnetization: 0.00 μB/atom
energy relative to the elements: 0.030 eV per atom
space group: P-31m, No. 162
E_tot: -1.0290 eV/atom
mass density: 12.07 g/cm³
calculated volume: 250.22 Å³/f.u.

abc: 5.7442 5.7442 8.7565
angles: 90.00 90.00 120.00
Sites, in units of the cell vectors:
Hg 0.0000 0.0000 0.0000
Hg 0.0000 0.3329 0.6604
Hg 0.0000 0.6671 0.3396
Hg 0.3329 0.0000 0.6604
Hg 0.3329 0.3329 0.3396
Hg 0.6671 0.0000 0.3396
Hg 0.6671 0.6671 0.6604
Pb 0.3333 0.6667 0.0000
Pb 0.6667 0.3333 0.0000



Record 2
Below is V8Si2Ge after structural relaxation, with properties calculated at the PBE level.

Calculated values
formation energy (no corrections): -0.1427 eV per atom
total magnetization: 0.00 μB/atom
space group: C2/m, No. 12
E_tot: -8.1801 eV/atom
mass density: 5.78 g/cm³
calculated volume: 154.11 Å³/f.u.

abc: 6.3636 6.3636 4.6315
angles: 103.13 103.13 114.96
Sites, in units of the cell vectors:
V 0.0928 0.3152 0.6075
V 0.2365 0.7635 0.0000
V 0.3152 0.0928 0.6075
V 0.3909 0.3909 0.1711
V 0.6091 0.6091 0.8289
V 0.6848 0.9072 0.3925
V 0.7635 0.2365 0.0000
V 0.9072 0.6848 0.3925
Si 0.3079 0.6921 0.5000
Si 0.6921 0.3079 0.5000
Ge 0.0000 0.0000 0.0000



Record 3
Below is KIn6Pd after structural relaxation, with properties calculated at the PBE level.

Calculated values
total magnetization: 0.00 μB/atom
energy relative to the elements: -0.208 eV per atom
space group: P4/mmm, No. 123
E_tot: -3.0477 eV/atom
mass density: 6.29 g/cm³
calculated volume: 220.29 Å³/f.u.

abc: 4.8396 4.8396 9.4051
angles: 90.00 90.00 90.00
Sites, in units of the cell vectors:
K 0.0000 0.0000 0.0000
In 0.0000 0.5000 0.3392
In 0.0000 0.5000 0.6608
In 0.5000 0.0000 0.3392
In 0.5000 0.0000 0.6608
In 0.5000 0.5000 0.1515
In 0.5000 0.5000 0.8485
Pd 0.0000 0.0000 0.5000